# RbYTi

A geometry-optimized RbYTi structure (PBE-GGA, the Alexandria database).

Unit cell a=10.344 b=3.413 c=12.231 alpha=90.00 beta=90.00 gamma=90.00
Each line ends with the local moment (μB).
Atoms (fractional coordinates):
Y: 0.605 0.750 0.914  0.17
Y: 0.105 0.750 0.586  0.17
Y: 0.895 0.250 0.414  0.17
Y: 0.395 0.250 0.086  0.17
Rb: 0.961 0.250 0.861  0.03
Rb: 0.539 0.750 0.361  0.03
Rb: 0.461 0.250 0.639  0.03
Rb: 0.039 0.750 0.139  0.03
Ti: 0.302 0.750 0.880  1.63
Ti: 0.698 0.250 0.120  1.64
Ti: 0.198 0.250 0.380  1.64
Ti: 0.802 0.750 0.620  1.64

Summary:
ΔE_f: 0.8564 eV per atom
offset from the most stable computed form: 583 meV per atom
calculated density: 3.42 g/cm³
space-group type: Pnma